7
Lattice="-2.0727 2.7352 8.8394 2.0727 -2.7352 8.8394 2.0727 2.7352 -8.8394" Properties=species:S:1:pos:R:3 comment="Cs2MgCl3F | Alexandria via LeMat-Bulk | GGA-PBE | relaxed" m_tot_mub_per_cell=0.00 vol_a3_per_cell=200.4 dos_ef_per_ev_fu=0.00 e_form_raw_mev_per_atom=-2218 pbc="T T T"
Cs 0.0000 0.0000 2.6439
Cs 0.0000 0.0000 15.0349
Mg 0.0000 0.0000 8.8394
Cl 2.0727 0.0000 0.0000
Cl 0.0000 0.0000 6.2800
Cl 0.0000 0.0000 11.3989
F 0.0000 2.7352 0.0000